No. 1
VASP calculation (PBE) on crystalline HgIr2 at its relaxed geometry.

a b c (Å): 7.692 7.692 4.663
angles (deg): 90.00 90.00 158.89
Atoms (fractional coordinates):
Hg 0.216 0.784 0.750
Hg 0.784 0.216 0.250
Ir 0.099 0.901 0.250
Ir 0.450 0.550 0.250
Ir 0.550 0.450 0.750
Ir 0.901 0.099 0.750

## Properties
**Space-group type**: No. 63
**Calculated formation energy**: 0.423 eV per atom
**Raw total energy**: -33.51 eV per cell
**ρ**: 19.55 g/cm³
**Crystal system**: orthorhombic



No. 2
VASP calculation (PBE) on crystalline HgIr2 at its relaxed geometry.

a b c (Å): 5.788 5.788 5.788
angles (deg): 152.33 144.16 45.87
Atoms (fractional coordinates):
Hg 0.000 0.000 0.000
Ir 0.309 0.309 0.000
Ir 0.691 0.691 0.000

## Properties
**Space-group type**: No. 71
**Calculated formation energy**: 0.480 eV per atom
**Raw total energy**: -16.58 eV per cell
**ρ**: 18.48 g/cm³
**Crystal system**: orthorhombic



No. 3
VASP calculation (PBE) on crystalline HgIr at its relaxed geometry.

a b c (Å): 6.679 4.409 5.438
angles (deg): 90.00 90.00 90.00
Atoms (fractional coordinates):
Hg 0.145 0.250 0.106
Hg 0.355 0.750 0.606
Hg 0.645 0.250 0.394
Hg 0.855 0.750 0.894
Ir 0.028 0.250 0.601
Ir 0.472 0.750 0.101
Ir 0.528 0.250 0.899
Ir 0.972 0.750 0.399

## Properties
**Space-group type**: No. 62
**Calculated formation energy**: 0.651 eV per atom
**Raw total energy**: -31.45 eV per cell
**ρ**: 16.29 g/cm³
**Crystal system**: orthorhombic



No. 4
VASP calculation (PBE) on crystalline Hg5Ir at its relaxed geometry.

a b c (Å): 3.041 3.041 16.872
angles (deg): 90.00 90.00 120.00
Atoms (fractional coordinates):
Hg 0.000 0.000 0.000
Hg 0.000 0.000 0.364
Hg 0.000 0.000 0.636
Hg 0.667 0.333 0.186
Hg 0.667 0.333 0.814
Ir 0.667 0.333 0.500

## Properties
**Space-group type**: No. 187
**Energy relative to the lowest polymorph listed for this composition**: 60 meV per atom
**Calculated formation energy**: 0.324 eV per atom
**Raw total energy**: -8.43 eV per cell
**ρ**: 14.68 g/cm³
**Crystal system**: hexagonal



Number 1: calculated volume 99.4 Å³/cell. Number 2: calculated volume 52.6 Å³/cell. Number 3: calculated volume 160.1 Å³/cell. Number 4: calculated volume 135.2 Å³/cell.